The following is a DFT calculation (meta-GGA SCAN) of a crystal of KOs2PtC relaxed with PBEsol.

Results
crystal system: tetragonal
space-group type: P4/mmm (123)
calculated volume: 16.10 Å³/atom
DOS(E_F): 0.873 states/eV per atom
energy of formation: 4353 meV/atom

Cell lengths 3.938, 4.521, 4.521 Å; angles 90.00, 90.00, 90.00 degrees
Atoms (fractional coordinates):
1 K 0.000 0.000 0.000
2 Os 0.000 0.000 0.500
3 Os 0.000 0.500 0.000
4 Pt 0.500 0.500 0.500
5 C 0.500 0.000 0.000



The following is a DFT calculation (meta-GGA SCAN) of a crystal of KSnOs2C relaxed with PBEsol.

Results
crystal system: tetragonal
space-group type: P4/mmm (123)
calculated volume: 17.94 Å³/atom
DOS(E_F): 0.909 states/eV per atom
energy of formation: 4007 meV/atom

Cell lengths 4.053, 4.704, 4.704 Å; angles 90.00, 90.00, 90.00 degrees
Atoms (fractional coordinates):
1 Os 0.000 0.500 0.000
2 Os 0.000 0.000 0.500
3 K 0.000 0.000 0.000
4 C 0.500 0.000 0.000
5 Sn 0.500 0.500 0.500